(1)
Material: Th2InHg
Method: DFT, PBE
State: relaxed

Values from the calculation:
The mass density is 11.60 g/cm³. The electronic total energy comes out at -4.735 eV/atom. The calculation puts the formation energy at -265 meV/atom.

Cell lengths 3.4797, 3.4797, 9.2176 Å; angles 90.00, 90.00, 90.00 degrees
Closest atoms and distances in Å follow each position.
Space group P4/mmm (No. 123)
Unique sites:
1 Th 0.0000 0.0000 0.2471 x2  4 Hg 3.35, 4 In 3.39, 4 Th 3.48
2 In 0.5000 0.5000 0.5000 x1  8 Th 3.39, 4 In 3.48
3 Hg 0.5000 0.5000 0.0000 x1  8 Th 3.35, 4 Hg 3.48

---

(2)
Material: Th2InHg
Method: DFT, PBE
State: relaxed

Values from the calculation:
The mass density is 11.61 g/cm³. The electronic total energy comes out at -4.718 eV/atom. The calculation puts the formation energy at -248 meV/atom.

Cell lengths 4.8969, 4.8969, 4.6491 Å; angles 90.00, 90.00, 90.00 degrees
Closest atoms and distances in Å follow each position.
Space group P4/mmm (No. 123)
Unique sites:
1 Th 0.0000 0.5000 0.0000 x2  4 Hg 3.38, 4 In 3.38, 4 Th 3.46
2 In 0.0000 0.0000 0.5000 x1  8 Th 3.38, 4 Hg 3.46
3 Hg 0.5000 0.5000 0.5000 x1  8 Th 3.38, 4 In 3.46

---

(3)
Material: ThIn2Hg3
Method: DFT, PBE
State: relaxed

Values from the calculation:
The mass density is 11.45 g/cm³. The electronic total energy comes out at -2.466 eV/atom. The calculation puts the formation energy at -165 meV/atom.

Cell lengths 4.7642, 13.5064, 4.7939 Å; angles 90.00, 90.00, 90.00 degrees
Closest atoms and distances in Å follow each position.
Space group Cmmm (No. 65)
Unique sites:
1 Th 0.0000 0.0000 0.0000 x2  8 Hg 3.26-3.38, 4 In 3.39
2 In 0.0000 0.3217 0.0000 x4  2 In 3.07, 8 Hg 3.21-3.40, 2 Th 3.39
3 Hg 0.0000 0.1634 0.5000 x4  6 In 3.21-3.39, 4 Hg 3.25-3.34, 2 Th 3.26
4 Hg 0.0000 0.5000 0.5000 x2  4 Hg 3.25, 4 Th 3.38, 4 In 3.40